[1]
! CsRbO2, single point on PBEsol structure, DFT meta-GGA SCAN; values from VASP
! Magnetic moment: 0.00 μB per formula unit
! Final energy: -217.0 eV per cell
! Energy relative to the elements, uncorrected: -331 meV/atom
! Symmetry: R-3m, No. 166
&SYSTEM
  ibrav = 0, nat = 12, ntyp = 3
/
ATOMIC_SPECIES
Cs 132.91 Cs.upf
Rb 85.47 Rb.upf
O 16.00 O.upf
ATOMIC_POSITIONS crystal
Cs 0.000 0.000 0.000
Cs 0.333 0.667 0.667
Cs 0.667 0.333 0.333
Rb 0.000 0.000 0.500
Rb 0.333 0.667 0.167
Rb 0.667 0.333 0.833
O 0.000 0.000 0.408
O 0.000 0.000 0.592
O 0.333 0.667 0.075
O 0.333 0.667 0.259
O 0.667 0.333 0.741
O 0.667 0.333 0.925
CELL_PARAMETERS angstrom
4.488 0.000 0.000
-2.244 3.887 0.000
0.000 0.000 22.052

---

[2]
! PrMn2Si2, single point on PBEsol structure, DFT meta-GGA SCAN; values from VASP
! Magnetic moment: 4.17 μB per formula unit
! Final energy: -206.0 eV per cell
! Energy relative to the elements, uncorrected: -627 meV/atom
! Symmetry: I4/mmm, No. 139
&SYSTEM
  ibrav = 0, nat = 10, ntyp = 3
/
ATOMIC_SPECIES
Pr 140.91 Pr.upf
Mn 54.94 Mn.upf
Si 28.09 Si.upf
ATOMIC_POSITIONS crystal
Pr 0.000 0.000 0.000
Pr 0.500 0.500 0.500
Mn 0.000 0.500 0.250
Mn 0.000 0.500 0.750
Mn 0.500 0.000 0.250
Mn 0.500 0.000 0.750
Si 0.000 0.000 0.374
Si 0.000 0.000 0.626
Si 0.500 0.500 0.126
Si 0.500 0.500 0.874
CELL_PARAMETERS angstrom
3.935 0.000 0.000
0.000 3.935 0.000
0.000 0.000 10.402

---

[3]
! ZnSeO3, single point on PBEsol structure, DFT meta-GGA SCAN; values from VASP
! Magnetic moment: 0.00 μB per formula unit
! Final energy: -467.1 eV per cell
! Energy relative to the elements, uncorrected: -1220 meV/atom
! Symmetry: Pbca, No. 61
&SYSTEM
  ibrav = 0, nat = 40, ntyp = 3
/
ATOMIC_SPECIES
Zn 65.41 Zn.upf
Se 78.96 Se.upf
O 16.00 O.upf
ATOMIC_POSITIONS crystal
Zn 0.136 0.095 0.108
Zn 0.136 0.405 0.608
Zn 0.364 0.595 0.108
Zn 0.364 0.905 0.608
Zn 0.636 0.095 0.392
Zn 0.636 0.405 0.892
Zn 0.864 0.595 0.392
Zn 0.864 0.905 0.892
Se 0.109 0.144 0.545
Se 0.109 0.356 0.045
Se 0.391 0.644 0.545
Se 0.391 0.856 0.045
Se 0.609 0.144 0.955
Se 0.609 0.356 0.455
Se 0.891 0.644 0.955
Se 0.891 0.856 0.455
O 0.019 0.591 0.154
O 0.019 0.909 0.654
O 0.155 0.567 0.534
O 0.155 0.933 0.034
O 0.204 0.231 0.962
O 0.204 0.269 0.462
O 0.296 0.731 0.962
O 0.296 0.769 0.462
O 0.345 0.067 0.534
O 0.345 0.433 0.034
O 0.481 0.091 0.154
O 0.481 0.409 0.654
O 0.519 0.591 0.346
O 0.519 0.909 0.846
O 0.655 0.567 0.966
O 0.655 0.933 0.466
O 0.704 0.231 0.538
O 0.704 0.269 0.038
O 0.796 0.731 0.538
O 0.796 0.769 0.038
O 0.845 0.067 0.966
O 0.845 0.433 0.466
O 0.981 0.091 0.346
O 0.981 0.409 0.846
CELL_PARAMETERS angstrom
6.190 0.000 0.000
0.000 11.980 0.000
0.000 0.000 7.238

---

[4]
! MgTi2O5, single point on PBEsol structure, DFT meta-GGA SCAN; values from VASP
! Magnetic moment: 0.00 μB per formula unit
! Final energy: -188.6 eV per cell
! Energy relative to the elements, uncorrected: -3262 meV/atom
! Symmetry: Cmc2_1, No. 36
&SYSTEM
  ibrav = 0, nat = 16, ntyp = 3
/
ATOMIC_SPECIES
Mg 24.30 Mg.upf
Ti 47.87 Ti.upf
O 16.00 O.upf
ATOMIC_POSITIONS crystal
Mg 0.144 0.856 0.500
Mg 0.856 0.144 0.000
Ti 0.136 0.864 0.122
Ti 0.185 0.815 0.817
Ti 0.815 0.185 0.317
Ti 0.864 0.136 0.622
O 0.042 0.958 0.687
O 0.048 0.952 0.947
O 0.254 0.746 0.303
O 0.293 0.707 0.988
O 0.318 0.682 0.646
O 0.682 0.318 0.146
O 0.707 0.293 0.488
O 0.746 0.254 0.803
O 0.952 0.048 0.447
O 0.958 0.042 0.187
CELL_PARAMETERS angstrom
1.874 -4.929 0.000
1.874 4.929 0.000
0.000 0.000 9.827

---

[5]
! AlBr2Cl, single point on PBEsol structure, DFT meta-GGA SCAN; values from VASP
! Magnetic moment: 0.00 μB per formula unit
! Final energy: -233.1 eV per cell
! Energy relative to the elements, uncorrected: -910 meV/atom
! Symmetry: I-42d, No. 122
&SYSTEM
  ibrav = 0, nat = 16, ntyp = 3
/
ATOMIC_SPECIES
Al 26.98 Al.upf
Br 79.90 Br.upf
Cl 35.45 Cl.upf
ATOMIC_POSITIONS crystal
Al 0.000 0.000 0.000
Al 0.000 0.500 0.250
Al 0.500 0.000 0.750
Al 0.500 0.500 0.500
Br 0.108 0.750 0.125
Br 0.250 0.108 0.875
Br 0.250 0.392 0.375
Br 0.392 0.750 0.625
Br 0.608 0.250 0.625
Br 0.750 0.608 0.375
Br 0.750 0.892 0.875
Br 0.892 0.250 0.125
Cl 0.000 0.000 0.500
Cl 0.000 0.500 0.750
Cl 0.500 0.000 0.250
Cl 0.500 0.500 0.000
CELL_PARAMETERS angstrom
9.157 0.000 0.000
0.000 9.157 0.000
0.000 0.000 4.764

---

[6]
! EuClO, single point on PBEsol structure, DFT meta-GGA SCAN; values from VASP
! Magnetic moment: 6.00 μB per formula unit
! Final energy: -152.3 eV per cell
! Energy relative to the elements, uncorrected: -2746 meV/atom
! Symmetry: P4/nmm, No. 129
&SYSTEM
  ibrav = 0, nat = 6, ntyp = 3
/
ATOMIC_SPECIES
Eu 151.96 Eu.upf
Cl 35.45 Cl.upf
O 16.00 O.upf
ATOMIC_POSITIONS crystal
Eu 0.250 0.250 0.177
Eu 0.750 0.750 0.823
Cl 0.250 0.250 0.631
Cl 0.750 0.750 0.369
O 0.250 0.750 0.000
O 0.750 0.250 0.000
CELL_PARAMETERS angstrom
3.928 0.000 0.000
0.000 3.928 0.000
0.000 0.000 6.723

---

[7]
! InSb2TeIr, single point on PBEsol structure, DFT meta-GGA SCAN; values from VASP
! Magnetic moment: 0.00 μB per formula unit
! Final energy: -207.5 eV per cell
! Energy relative to the elements, uncorrected: 1756 meV/atom
! Symmetry: P4/mmm, No. 123
&SYSTEM
  ibrav = 0, nat = 5, ntyp = 4
/
ATOMIC_SPECIES
In 114.82 In.upf
Sb 121.76 Sb.upf
Te 127.60 Te.upf
Ir 192.22 Ir.upf
ATOMIC_POSITIONS crystal
In 0.000 0.000 0.000
Sb 0.000 0.500 0.000
Sb 0.500 0.000 0.000
Te 0.000 0.000 0.500
Ir 0.500 0.500 0.500
CELL_PARAMETERS angstrom
5.302 0.000 0.000
0.000 5.302 0.000
0.000 0.000 5.355

---

[8]
! ZnSbRu3, single point on PBEsol structure, DFT meta-GGA SCAN; values from VASP
! Magnetic moment: 0.00 μB per formula unit
! Final energy: -148.6 eV per cell
! Energy relative to the elements, uncorrected: 1333 meV/atom
! Symmetry: Pm-3m, No. 221
&SYSTEM
  ibrav = 0, nat = 5, ntyp = 3
/
ATOMIC_SPECIES
Zn 65.41 Zn.upf
Sb 121.76 Sb.upf
Ru 101.07 Ru.upf
ATOMIC_POSITIONS crystal
Zn 0.000 0.000 0.000
Sb 0.500 0.500 0.500
Ru 0.000 0.000 0.500
Ru 0.000 0.500 0.000
Ru 0.500 0.000 0.000
CELL_PARAMETERS angstrom
4.427 0.000 0.000
0.000 4.427 0.000
0.000 0.000 4.427